(1)
This record from the Alexandria database describes an optimized crystal structure of Ac2YEr. The functional is GGA-PBE.

POSCAR file:
```
Ac2YEr
1.0
5.987 0.000 0.000
2.993 5.185 0.000
2.993 1.728 4.888
Y Ac Er
1 2 1
Direct
0.500 0.500 0.500
0.250 0.250 0.250
0.750 0.750 0.750
0.000 0.000 0.000
```

V   152 Å³ per cell
VASP energy   -4.728 eV per atom
DFT formation energy   0.3 eV per formula unit
Crystal system   cubic
Space-group type   Fm-3m

(2)
This record from the Alexandria database describes an optimized crystal structure of Ac2YEr. The functional is GGA-PBE.

POSCAR file:
```
Ac2YEr
1.0
3.701 0.000 0.000
1.850 3.205 0.000
1.850 1.068 13.044
Y Ac Er
1 2 1
Direct
0.500 0.500 0.500
0.088 0.088 0.736
0.912 0.912 0.264
0.000 0.000 0.000
```

V   155 Å³ per cell
VASP energy   -4.554 eV per atom
DFT formation energy   1.0 eV per formula unit
Crystal system   trigonal
Space-group type   R-3m

> VASP energy of number 2 (Ac2YEr)?

-4.554 eV per atom